{"formula": "Sm2HoRu", "functional": "PBE-GGA", "state": "optimized geometry", "n_ef_per_ev_atom": 1.582, "formation_enthalpy_0k_ev_per_atom": 0.18, "rho_g_cm3": 8.0, "cell": [[3.559, 0.000, 0.000], [1.779, 3.082, 0.000], [1.779, 1.027, 10.686]], "species": ["Sm", "Sm", "Ru", "Ho"], "frac_coords": [[0.107, 0.107, 0.680], [0.893, 0.893, 0.320], [0.500, 0.500, 0.500], [0.000, 0.000, 0.000]]}